4
Lattice="2.879 -4.154 0.000 2.879 4.154 0.000 0.000 0.000 2.959" Properties=species:S:1:pos:R:3 comment="GGA-PBE MnCd2Pt, optimized geometry" e_tot_ev_per_atom=-4.264 space_group="Cmmm, No. 65" crystal_system=orthorhombic volume_a3_per_cell=70.8 pbc="T T T"
Mn 0.000 0.000 0.000
Cd 1.440 2.077 1.480
Cd 1.440 -2.077 1.480
Pt 2.879 0.000 0.000